1.
Entry from the Alexandria database: crystalline DyPa2Zn6 at its relaxed geometry (PBE-GGA).

abc: 7.9172 7.9172 3.2198
angles: 90.00 90.00 120.00
With the nearest neighbours (Å) after each atom.
Space group P6/mmm (No. 191)
Symmetry-distinct sites (fractional):
1 Dy 0.0000 0.0000 0.0000 (multiplicity 1)  12 Zn 3.08, 2 Dy 3.22
2 Pa 0.3333 0.6667 0.0000 (multiplicity 2)  12 Zn 3.09, 2 Pa 3.22
3 Zn 0.0000 0.3324 0.5000 (multiplicity 6)  3 Zn 2.63-2.65

Values from the calculation:
**DOS at the Fermi energy**: 10.3 states/eV/f.u.
**ΔH_f (0 K)**: -0.17 eV/atom

2.
Entry from the Alexandria database: crystalline DyPaZn2 at its relaxed geometry (PBE-GGA).

abc: 7.0846 7.0846 7.0846
angles: 90.00 90.00 90.00
With the nearest neighbours (Å) after each atom.
Space group Fm-3m (No. 225)
Symmetry-distinct sites (fractional):
1 Dy 0.0000 0.0000 0.0000 (multiplicity 4)  8 Zn 3.07
2 Pa 0.0000 0.0000 0.5000 (multiplicity 4)  8 Zn 3.07
3 Zn 0.2500 0.2500 0.2500 (multiplicity 8)  4 Dy 3.07, 4 Pa 3.07

Values from the calculation:
**DOS at the Fermi energy**: 4.3 states/eV/f.u.
**ΔH_f (0 K)**: -0.05 eV/atom
**Polymorph energy (0 for the lowest one)**: 0.065 eV/atom

3.
Entry from the Alexandria database: crystalline DyZrPa2 at its relaxed geometry (PBE-GGA).

abc: 7.4730 7.4730 7.4730
angles: 90.00 90.00 90.00
With the nearest neighbours (Å) after each atom.
Space group Fm-3m (No. 225)
Symmetry-distinct sites (fractional):
1 Dy 0.0000 0.0000 0.0000 (multiplicity 4)  8 Pa 3.24
2 Zr 0.0000 0.0000 0.5000 (multiplicity 4)  8 Pa 3.24
3 Pa 0.2500 0.2500 0.2500 (multiplicity 8)  4 Zr 3.24, 4 Dy 3.24

Values from the calculation:
**DOS at the Fermi energy**: 11.6 states/eV/f.u.
**ΔH_f (0 K)**: 0.42 eV/atom
**Polymorph energy (0 for the lowest one)**: 0.234 eV/atom

4.
Entry from the Alexandria database: crystalline DyZrPa at its relaxed geometry (PBE-GGA).

abc: 5.2276 5.2276 3.3318
angles: 90.00 90.00 120.00
With the nearest neighbours (Å) after each atom.
Space group P-6m2 (No. 187)
Symmetry-distinct sites (fractional):
1 Dy 0.0000 0.0000 0.0000 (multiplicity 1)  2 Dy 3.33, 6 Pa 3.45, 6 Zr 3.45
2 Zr 0.3333 0.6667 0.5000 (multiplicity 1)  3 Pa 3.02, 2 Zr 3.33
3 Pa 0.6667 0.3333 0.5000 (multiplicity 1)  3 Zr 3.02, 2 Pa 3.33

Values from the calculation:
**DOS at the Fermi energy**: 3.9 states/eV/f.u.
**ΔH_f (0 K)**: 0.18 eV/atom
**Polymorph energy (0 for the lowest one)**: 0.018 eV/atom

5.
Entry from the Alexandria database: crystalline DyZr2Pa at its relaxed geometry (PBE-GGA).

abc: 3.2619 3.2619 32.9489
angles: 90.00 90.00 120.00
With the nearest neighbours (Å) after each atom.
Space group R3m (No. 160, hexagonal axes)
Symmetry-distinct sites (fractional):
1 Dy 0.0000 0.0000 0.0000 (multiplicity 3)  6 Dy 3.26, 6 Zr 3.39-3.41
2 Zr 0.0000 0.0000 0.4196 (multiplicity 3)  6 Zr 3.26, 3 Pa 3.26, 3 Dy 3.41
3 Zr 0.0000 0.0000 0.5811 (multiplicity 3)  3 Pa 3.26, 6 Zr 3.26, 3 Dy 3.39
4 Pa 0.0000 0.0000 0.1671 (multiplicity 3)  6 Zr 3.26, 6 Pa 3.26

Values from the calculation:
**DOS at the Fermi energy**: 6.1 states/eV/f.u.
**ΔH_f (0 K)**: 0.09 eV/atom
**Polymorph energy (0 for the lowest one)**: 0.000 eV/atom

6.
Entry from the Alexandria database: crystalline DyZrPa2 at its relaxed geometry (PBE-GGA).

abc: 4.5021 4.5021 5.0674
angles: 90.00 90.00 90.00
With the nearest neighbours (Å) after each atom.
Space group P4/mmm (No. 123)
Symmetry-distinct sites (fractional):
1 Dy 0.0000 0.0000 0.0000 (multiplicity 1)  4 Zr 3.18, 8 Pa 3.39
2 Zr 0.5000 0.5000 0.0000 (multiplicity 1)  4 Dy 3.18, 8 Pa 3.39
3 Pa 0.0000 0.5000 0.5000 (multiplicity 2)  4 Pa 3.18, 4 Zr 3.39, 4 Dy 3.39

Values from the calculation:
**DOS at the Fermi energy**: 8.3 states/eV/f.u.
**ΔH_f (0 K)**: 0.21 eV/atom
**Polymorph energy (0 for the lowest one)**: 0.019 eV/atom

7.
Entry from the Alexandria database: crystalline DyZr2Pa at its relaxed geometry (PBE-GGA).

abc: 4.6930 4.6930 4.6278
angles: 90.00 90.00 90.00
With the nearest neighbours (Å) after each atom.
Space group P4/mmm (No. 123)
Symmetry-distinct sites (fractional):
1 Dy 0.0000 0.0000 0.0000 (multiplicity 1)  8 Zr 3.30, 4 Pa 3.32
2 Zr 0.0000 0.5000 0.5000 (multiplicity 2)  4 Dy 3.30, 4 Pa 3.30, 4 Zr 3.32
3 Pa 0.5000 0.5000 0.0000 (multiplicity 1)  8 Zr 3.30, 4 Dy 3.32

Values from the calculation:
**DOS at the Fermi energy**: 7.0 states/eV/f.u.
**ΔH_f (0 K)**: 0.20 eV/atom
**Polymorph energy (0 for the lowest one)**: 0.103 eV/atom

8.
Entry from the Alexandria database: crystalline DyZrPa at its relaxed geometry (PBE-GGA).

abc: 3.2056 19.2286 5.0794
angles: 90.00 90.00 90.00
With the nearest neighbours (Å) after each atom.
Space group Cmcm (No. 63)
Symmetry-distinct sites (fractional):
1 Dy 0.0000 0.0502 0.2500 (multiplicity 4)  4 Dy 3.19-3.21, 1 Zr 3.20, 4 Pa 3.37
2 Zr 0.0000 0.2168 0.2500 (multiplicity 4)  1 Pa 2.95, 1 Dy 3.20, 6 Zr 3.21-3.26
3 Pa 0.0000 0.3700 0.2500 (multiplicity 4)  1 Zr 2.95, 2 Pa 3.21

Values from the calculation:
**DOS at the Fermi energy**: 5.0 states/eV/f.u.
**ΔH_f (0 K)**: 0.19 eV/atom
**Polymorph energy (0 for the lowest one)**: 0.030 eV/atom

9.
Entry from the Alexandria database: crystalline DyZrPa at its relaxed geometry (PBE-GGA).

abc: 3.2190 3.2190 15.1760
angles: 90.00 90.00 90.00
With the nearest neighbours (Å) after each atom.
Space group I4mm (No. 107)
Symmetry-distinct sites (fractional):
1 Dy 0.0000 0.0000 0.0000 (multiplicity 2)  4 Dy 3.22, 4 Zr 3.46, 4 Pa 3.48
2 Zr 0.0000 0.0000 0.3285 (multiplicity 2)  4 Zr 3.22, 4 Pa 3.27, 4 Dy 3.46
3 Pa 0.0000 0.0000 0.6735 (multiplicity 2)  4 Pa 3.22, 4 Zr 3.27, 4 Dy 3.48

Values from the calculation:
**DOS at the Fermi energy**: 5.8 states/eV/f.u.
**ΔH_f (0 K)**: 0.16 eV/atom
**Polymorph energy (0 for the lowest one)**: 0.000 eV/atom

10.
Entry from the Alexandria database: crystalline DyZr2Pa at its relaxed geometry (PBE-GGA).

abc: 3.8353 3.8353 7.0769
angles: 90.00 90.00 90.00
With the nearest neighbours (Å) after each atom.
Space group P4/mmm (No. 123)
Symmetry-distinct sites (fractional):
1 Dy 0.0000 0.0000 0.0000 (multiplicity 1)  8 Zr 3.40, 2 Pa 3.54
2 Zr 0.5000 0.5000 0.2902 (multiplicity 2)  1 Zr 2.97, 4 Pa 3.09
3 Pa 0.0000 0.0000 0.5000 (multiplicity 1)  8 Zr 3.09

Values from the calculation:
**DOS at the Fermi energy**: 6.8 states/eV/f.u.
**ΔH_f (0 K)**: 0.11 eV/atom
**Polymorph energy (0 for the lowest one)**: 0.012 eV/atom

11.
Entry from the Alexandria database: crystalline DyZr2Pa at its relaxed geometry (PBE-GGA).

abc: 3.2977 3.2977 32.5969
angles: 90.00 90.00 120.00
With the nearest neighbours (Å) after each atom.
Space group R-3m (No. 166, hexagonal axes)
Symmetry-distinct sites (fractional):
1 Dy 0.0000 0.0000 0.0000 (multiplicity 3)  6 Dy 3.30, 6 Zr 3.40
2 Zr 0.0000 0.0000 0.2470 (multiplicity 6)  3 Pa 3.24, 6 Zr 3.30, 3 Dy 3.40
3 Pa 0.0000 0.0000 0.5000 (multiplicity 3)  6 Zr 3.24, 6 Pa 3.30

Values from the calculation:
**DOS at the Fermi energy**: 6.7 states/eV/f.u.
**ΔH_f (0 K)**: 0.14 eV/atom
**Polymorph energy (0 for the lowest one)**: 0.046 eV/atom

12.
Entry from the Alexandria database: crystalline DyZrPa2 at its relaxed geometry (PBE-GGA).

abc: 3.1680 3.1680 10.2701
angles: 90.00 90.00 90.00
With the nearest neighbours (Å) after each atom.
Space group P4/mmm (No. 123)
Symmetry-distinct sites (fractional):
1 Dy 0.0000 0.0000 0.0000 (multiplicity 1)  4 Dy 3.17, 8 Pa 3.49
2 Zr 0.0000 0.0000 0.5000 (multiplicity 1)  4 Zr 3.17, 8 Pa 3.32
3 Pa 0.5000 0.5000 0.2610 (multiplicity 2)  4 Pa 3.17, 4 Zr 3.32, 4 Dy 3.49

Values from the calculation:
**DOS at the Fermi energy**: 8.6 states/eV/f.u.
**ΔH_f (0 K)**: 0.19 eV/atom
**Polymorph energy (0 for the lowest one)**: 0.000 eV/atom

Repeat the first record exactly.
Entry from the Alexandria database: crystalline DyPa2Zn6 at its relaxed geometry (PBE-GGA).

abc: 7.9172 7.9172 3.2198
angles: 90.00 90.00 120.00
With the nearest neighbours (Å) after each atom.
Space group P6/mmm (No. 191)
Symmetry-distinct sites (fractional):
1 Dy 0.0000 0.0000 0.0000 (multiplicity 1)  12 Zn 3.08, 2 Dy 3.22
2 Pa 0.3333 0.6667 0.0000 (multiplicity 2)  12 Zn 3.09, 2 Pa 3.22
3 Zn 0.0000 0.3324 0.5000 (multiplicity 6)  3 Zn 2.63-2.65

Values from the calculation:
**DOS at the Fermi energy**: 10.3 states/eV/f.u.
**ΔH_f (0 K)**: -0.17 eV/atom